4
Lattice="5.366 0.000 0.000 2.683 4.647 0.000 2.683 1.549 4.381" Properties=species:S:1:pos:R:3 comment="NdSmIBr, relaxed, DFT GGA-PBE" dos_ef_per_ev_fu=1.65 sg="F-43m (216)" m_tot_mub_per_atom=0.00 final_energy_ev_per_atom=-4.01 pbc="T T T"
I 0.000 0.000 0.000
Nd 8.049 4.647 3.286
Br 5.366 3.098 2.191
Sm 2.683 1.549 1.095